## 1
PmOsO4 (PBE, optimized geometry); crystal system = monoclinic; ρ = 8.4 g/cm3; D(E_F) = 11.883 states/eV per cell; space-group type = P2_1/c; spin magnetization = 0.00 Bohr magnetons per cell
1.0
-5.1449 -0.3831 1.8113
-1.7223 -4.7495 -5.8967
2.2127 -4.9657 5.2347
O Pm Os
16 4 4
direct
0.5035 0.3179 0.8740
0.0227 0.3824 0.8239
0.0690 0.9568 0.2946
0.5227 0.6176 0.6761
0.4310 0.9568 0.7946
0.8575 0.8324 0.9495
0.9773 0.6176 0.1761
0.0035 0.6821 0.6260
0.6425 0.8324 0.4495
0.3575 0.1676 0.5505
0.5690 0.0432 0.2054
0.4965 0.6821 0.1260
0.9310 0.0432 0.7054
0.4773 0.3824 0.3239
0.9965 0.3179 0.3740
0.1425 0.1676 0.0505
0.2852 0.6495 0.3979
0.7852 0.3505 0.1021
0.7148 0.3505 0.6021
0.2148 0.6495 0.8979
0.7698 0.8401 0.2047
0.2302 0.1599 0.7953
0.7302 0.8401 0.7047
0.2698 0.1599 0.2953

***

## 2
PmOsO4 (PBE, optimized geometry); crystal system = monoclinic; ρ = 8.5 g/cm3; D(E_F) = 7.593 states/eV per cell; space-group type = C2/c; spin magnetization = 0.87 Bohr magnetons per cell
1.0
-2.9440 0.3839 -4.5383
-3.1273 -3.1036 2.6524
0.3540 5.8750 3.0644
O Pm Os
8 2 2
direct
0.2534 0.5487 0.5606
0.3394 0.2038 0.9137
0.8071 0.0118 0.5606
0.7466 0.4513 0.4394
0.6606 0.7962 0.0863
0.1929 0.9882 0.4394
0.0743 0.7099 0.9137
0.9257 0.2901 0.0863
0.3635 0.6135 0.2271
0.6365 0.3865 0.7729
0.9092 0.1592 0.3184
0.0908 0.8408 0.6816

***

Ordering by calculated energy gives the sequence 1, 2, with the first entry being the most stable.

***

## 1
PrOsO4 (PBE, optimized geometry); crystal system = monoclinic; ρ = 7.9 g/cm3; D(E_F) = 4.871 states/eV per cell; space-group type = P2_1/c; spin magnetization = 4.36 Bohr magnetons per cell
1.0
-0.3204 -4.0609 3.1127
-2.6861 -2.9238 -4.0910
5.6994 -1.0816 -0.8244
O Os Pr
8 2 2
direct
0.2404 0.2896 0.1170
0.3664 0.4008 0.6812
0.8664 0.0992 0.3188
0.1336 0.9008 0.6812
0.2596 0.7896 0.1170
0.7404 0.2104 0.8830
0.6336 0.5992 0.3188
0.7596 0.7104 0.8830
0.0000 0.0000 0.0000
0.5000 0.5000 0.0000
0.5000 0.0000 0.5000
0.0000 0.5000 0.5000

***

## 2
PrOsO4 (PBE, optimized geometry); crystal system = monoclinic; ρ = 8.0 g/cm3; D(E_F) = 10.892 states/eV per cell; space-group type = P2_1/c; spin magnetization = 0.99 Bohr magnetons per cell
1.0
5.5186 0.0000 0.0000
0.0000 7.7380 -1.4712
0.0000 -0.3439 7.7637
O Pr Os
16 4 4
direct
0.1503 0.1836 0.0493
0.4902 0.3414 0.8689
0.5098 0.6586 0.1311
0.3497 0.1836 0.5493
0.9737 0.0152 0.7209
0.5263 0.0152 0.2209
0.9860 0.6299 0.1796
0.0140 0.3701 0.8204
0.4860 0.3701 0.3204
0.5140 0.6299 0.6796
0.4737 0.9848 0.7791
0.8497 0.8164 0.9507
0.9902 0.6586 0.6311
0.0263 0.9848 0.2791
0.6503 0.8164 0.4507
0.0098 0.3414 0.3689
0.7178 0.3626 0.5969
0.2178 0.6374 0.9031
0.7822 0.3626 0.0969
0.2822 0.6374 0.4031
0.7413 0.8367 0.7064
0.2413 0.1633 0.7936
0.7587 0.8367 0.2064
0.2587 0.1633 0.2936

***

Ordering by calculated energy gives the sequence 2, 1, with the first entry being the most stable.

***

## 1
Pr2OsO6 (PBE, optimized geometry); crystal system = monoclinic; ρ = 7.1 g/cm3; D(E_F) = 8.732 states/eV per cell; space-group type = P2_1/c; spin magnetization = 4.01 Bohr magnetons per cell
1.0
5.5399 0.0000 -0.5405
0.0000 6.2415 0.0000
-0.0957 0.0000 7.6550
Pr O Os
4 12 2
direct
0.9607 0.4077 0.7513
0.5393 0.9077 0.7487
0.0393 0.5923 0.2487
0.4607 0.0923 0.2513
0.8674 0.7304 0.5707
0.6325 0.2304 0.9293
0.6384 0.4475 0.2364
0.3616 0.5525 0.7636
0.2964 0.8464 0.4482
0.7964 0.6536 0.9482
0.3674 0.7696 0.0707
0.2036 0.3464 0.0518
0.1384 0.0525 0.7364
0.8616 0.9475 0.2636
0.1326 0.2696 0.4293
0.7036 0.1536 0.5518
0.0000 0.0000 0.5000
0.5000 0.5000 0.0000

***

## 2
Pr2OsO6 (PBE, optimized geometry); crystal system = orthorhombic; ρ = 8.0 g/cm3; D(E_F) = 0.539 states/eV per cell; space-group type = Immm; spin magnetization = 1.99 Bohr magnetons per cell
1.0
-1.6943 -2.5112 2.3015
-3.1435 -1.7302 -4.2020
6.2828 -1.6958 -0.3688
Pr O Os
2 6 1
direct
0.6663 0.6663 0.3326
0.3337 0.3337 0.6674
0.8565 0.0850 0.7130
0.1435 0.3721 0.2870
0.5000 0.2035 0.0000
0.5000 0.7965 0.0000
0.8565 0.6279 0.7130
0.1435 0.9150 0.2870
0.0000 0.0000 0.0000

***

Ordering by calculated energy gives the sequence 1, 2, with the first entry being the most stable.

***

## 1
OsPtO2 (PBE, optimized geometry); crystal system = trigonal; ρ = 14.8 g/cm3; D(E_F) = 2.364 states/eV per cell; space-group type = R-3m; spin magnetization = 0.00 Bohr magnetons per cell
1.0
1.4208 -1.1102 6.6769
2.4106 -3.4747 5.4724
4.0066 -1.1356 5.5217
Os O Pt
1 2 1
direct
0.5000 0.5000 0.5000
0.8980 0.8980 0.8980
0.1020 0.1020 0.1020
0.0000 0.0000 0.0000

***

## 2
OsPtO2 (PBE, optimized geometry); crystal system = cubic; ρ = 15.4 g/cm3; D(E_F) = 3.996 states/eV per cell; space-group type = Fm-3m; spin magnetization = 0.00 Bohr magnetons per cell
1.0
-2.4599 2.3886 2.0376
-2.9188 1.9444 -1.8995
-3.8019 -1.0660 0.5634
O Os Pt
2 1 1
direct
0.7500 0.7500 0.7500
0.2500 0.2500 0.2500
0.0000 0.0000 0.0000
0.5000 0.5000 0.5000

***

## 3
OsPtO2 (PBE, optimized geometry); crystal system = tetragonal; ρ = 14.0 g/cm3; D(E_F) = 7.163 states/eV per cell; space-group type = I-42d; spin magnetization = 0.00 Bohr magnetons per cell
1.0
-2.0367 0.8597 3.2142
-3.1906 -1.5735 -1.6008
-1.0420 -6.1268 3.3458
Pt O Os
2 4 2
direct
0.0000 0.0000 0.0000
0.7500 0.2500 0.5000
0.1739 0.6250 0.2500
0.8750 0.8261 0.7500
0.5761 0.1250 0.2500
0.3750 0.4239 0.7500
0.2500 0.7500 0.5000
0.5000 0.5000 0.0000

***

Ordering by calculated energy gives the sequence 1, 3, 2, with the first entry being the most stable.

***

## 1
RbOs3O (PBE, optimized geometry); crystal system = cubic; ρ = 13.7 g/cm3; D(E_F) = 9.436 states/eV per cell; space-group type = Pm-3m; spin magnetization = 0.81 Bohr magnetons per cell
1.0
-1.1417 -4.0747 -0.9188
-0.6083 -0.7801 4.2157
-4.1324 1.2405 -0.3667
Os Rb O
3 1 1
direct
0.5000 0.0000 0.0000
0.0000 0.0000 0.5000
0.0000 0.5000 0.0000
0.5000 0.5000 0.5000
0.0000 0.0000 0.0000

***

## 2
RbOs3O (PBE, optimized geometry); crystal system = cubic; ρ = 9.4 g/cm3; D(E_F) = 4.446 states/eV per cell; space-group type = Pm-3m; spin magnetization = 8.54 Bohr magnetons per cell
1.0
4.9074 0.0000 0.0000
0.0000 4.9074 0.0000
0.0000 0.0000 4.9074
Os Rb O
3 1 1
direct
0.0000 0.0000 0.5000
0.5000 0.0000 0.0000
0.0000 0.5000 0.0000
0.0000 0.0000 0.0000
0.5000 0.5000 0.5000

***

Ordering by calculated energy gives the sequence 1, 2, with the first entry being the most stable.

***

## 1
Re3OsO (PBE, optimized geometry); crystal system = cubic; ρ = 19.0 g/cm3; D(E_F) = 3.914 states/eV per cell; space-group type = Pm-3m; spin magnetization = 0.00 Bohr magnetons per cell
1.0
-1.0970 -3.5763 -1.5811
0.9277 -1.8333 3.5031
-3.7986 0.5850 1.3121
Re Os O
3 1 1
direct
0.5000 0.0000 0.0000
0.0000 0.5000 0.0000
0.0000 0.0000 0.5000
0.5000 0.5000 0.5000
0.0000 0.0000 0.0000

***

## 2
Re3OsO (PBE, optimized geometry); crystal system = cubic; ρ = 12.0 g/cm3; D(E_F) = 7.650 states/eV per cell; space-group type = Pm-3m; spin magnetization = 2.34 Bohr magnetons per cell
1.0
-3.8226 -2.6200 0.9612
-0.3466 -1.1719 -4.5725
2.7692 -3.7634 0.7546
Re O Os
3 1 1
direct
0.0000 0.0000 0.5000
0.0000 0.5000 0.0000
0.5000 0.0000 0.0000
0.5000 0.5000 0.5000
0.0000 0.0000 0.0000

***

Ordering by calculated energy gives the sequence 1, 2, with the first entry being the most stable.

***

## 1
ReOsSeO2 (PBE, optimized geometry); crystal system = tetragonal; ρ = 11.0 g/cm3; D(E_F) = 2.703 states/eV per cell; space-group type = P4/mmm; spin magnetization = 1.35 Bohr magnetons per cell
1.0
-1.1556 3.4687 -0.0073
-2.4153 -0.7944 4.8752
3.0745 1.0278 1.6907
O Re Os Se
2 1 1 1
direct
0.0000 0.0000 0.5000
0.5000 0.0000 0.0000
0.5000 0.5000 0.5000
0.0000 0.5000 0.0000
0.0000 0.0000 0.0000

***

## 2
ReOsSeO2 (PBE, optimized geometry); crystal system = tetragonal; ρ = 10.6 g/cm3; D(E_F) = 3.641 states/eV per cell; space-group type = P4/mmm; spin magnetization = 1.33 Bohr magnetons per cell
1.0
-3.6572 -0.4644 0.0966
0.1500 -2.2466 -5.1232
0.4639 -3.3456 1.4806
O Se Re Os
2 1 1 1
direct
0.5000 0.0000 0.0000
0.0000 0.0000 0.5000
0.5000 0.5000 0.5000
0.0000 0.5000 0.0000
0.0000 0.0000 0.0000

***

Ordering by calculated energy gives the sequence 2, 1, with the first entry being the most stable.

***

## 1
OsRu3O (PBE, optimized geometry); crystal system = cubic; ρ = 12.9 g/cm3; D(E_F) = 7.065 states/eV per cell; space-group type = Pm-3m; spin magnetization = 0.00 Bohr magnetons per cell
1.0
-1.4177 3.3501 -1.7364
-2.8339 -2.1700 -1.8730
-2.4914 0.5620 3.1184
Os Ru O
1 3 1
direct
0.5000 0.5000 0.5000
0.0000 0.5000 0.0000
0.5000 0.0000 0.0000
0.0000 0.0000 0.5000
0.0000 0.0000 0.0000

***

## 2
OsRu3O (PBE, optimized geometry); crystal system = cubic; ρ = 8.1 g/cm3; D(E_F) = 7.137 states/eV per cell; space-group type = Pm-3m; spin magnetization = 4.63 Bohr magnetons per cell
1.0
-4.1558 1.1429 1.8750
-1.0210 -4.5589 0.5160
1.9441 0.0490 4.2791
Ru Os O
3 1 1
direct
0.5000 0.0000 0.0000
0.0000 0.0000 0.5000
0.0000 0.5000 0.0000
0.0000 0.0000 0.0000
0.5000 0.5000 0.5000

***

Ordering by calculated energy gives the sequence 1, 2, with the first entry being the most stable.

***

## 1
SbOs2O (PBE, optimized geometry); crystal system = tetragonal; ρ = 12.4 g/cm3; D(E_F) = 8.371 states/eV per cell; space-group type = I-42d; spin magnetization = 0.00 Bohr magnetons per cell
1.0
4.5268 0.0000 0.0000
0.0000 4.5268 0.0000
2.2634 2.2634 6.7869
O Os Sb
2 4 2
direct
0.5000 0.5000 0.0000
0.2500 0.7500 0.5000
0.3750 0.5113 0.7500
0.8750 0.7387 0.7500
0.2613 0.6250 0.2500
0.4887 0.1250 0.2500
0.0000 0.0000 0.0000
0.7500 0.2500 0.5000

***

## 2
SbOs2O (PBE, optimized geometry); crystal system = cubic; ρ = 14.8 g/cm3; D(E_F) = 7.734 states/eV per cell; space-group type = Fm-3m; spin magnetization = 0.00 Bohr magnetons per cell
1.0
4.2028 -1.0964 0.2369
1.3169 -2.9522 2.9107
1.2998 -3.9334 -1.3271
Os Sb O
2 1 1
direct
0.7500 0.7500 0.7500
0.2500 0.2500 0.2500
0.5000 0.5000 0.5000
0.0000 0.0000 0.0000

***

Ordering by calculated energy gives the sequence 1, 2, with the first entry being the most stable.

***

## 1
SbOs3O (PBE, optimized geometry); crystal system = cubic; ρ = 16.0 g/cm3; D(E_F) = 4.360 states/eV per cell; space-group type = Pm-3m; spin magnetization = 0.00 Bohr magnetons per cell
1.0
4.1889 0.0000 0.0000
0.0000 4.1889 0.0000
0.0000 0.0000 4.1889
Os O Sb
3 1 1
direct
0.5000 0.0000 0.0000
0.0000 0.5000 0.0000
0.0000 0.0000 0.5000
0.0000 0.0000 0.0000
0.5000 0.5000 0.5000

***

## 2
SbOs3O (PBE, optimized geometry); crystal system = cubic; ρ = 10.0 g/cm3; D(E_F) = 5.954 states/eV per cell; space-group type = Pm-3m; spin magnetization = 6.15 Bohr magnetons per cell
1.0
-4.1339 -2.1634 -1.4958
-1.0746 -1.1540 4.6389
-2.4006 4.2420 0.4992
Os O Sb
3 1 1
direct
0.0000 0.0000 0.5000
0.5000 0.0000 0.0000
0.0000 0.5000 0.0000
0.5000 0.5000 0.5000
0.0000 0.0000 0.0000

***

Ordering by calculated energy gives the sequence 1, 2, with the first entry being the most stable.

***

## 1
Sb2TeOsO (PBE, optimized geometry); crystal system = tetragonal; ρ = 7.1 g/cm3; D(E_F) = 7.262 states/eV per cell; space-group type = P4/mmm; spin magnetization = 0.00 Bohr magnetons per cell
1.0
5.1200 0.0000 0.0000
0.0000 5.1200 0.0000
0.0000 0.0000 5.1735
Os Te Sb O
1 1 2 1
direct
0.0000 0.0000 0.0000
0.0000 0.0000 0.5000
0.0000 0.5000 0.0000
0.5000 0.0000 0.0000
0.5000 0.5000 0.5000

***

## 2
Sb2TeOsO (PBE, optimized geometry); crystal system = tetragonal; ρ = 9.7 g/cm3; D(E_F) = 2.791 states/eV per cell; space-group type = P4/mmm; spin magnetization = 0.00 Bohr magnetons per cell
1.0
-4.4362 0.7889 0.8565
-0.6274 -4.4613 0.8595
1.0065 0.7328 4.5382
Os O Te Sb
1 1 1 2
direct
0.5000 0.5000 0.5000
0.0000 0.0000 0.0000
0.0000 0.0000 0.5000
0.0000 0.5000 0.0000
0.5000 0.0000 0.0000

***

Ordering by calculated energy gives the sequence 2, 1, with the first entry being the most stable.

***

## 1
ScOs3O (PBE, optimized geometry); crystal system = cubic; ρ = 14.8 g/cm3; D(E_F) = 2.833 states/eV per cell; space-group type = Pm-3m; spin magnetization = 0.00 Bohr magnetons per cell
1.0
-3.4782 0.7531 2.1028
1.8753 -1.1293 3.5064
1.2133 3.9044 0.6086
O Os Sc
1 3 1
direct
0.0000 0.0000 0.0000
0.5000 0.0000 0.0000
0.0000 0.5000 0.0000
0.0000 0.0000 0.5000
0.5000 0.5000 0.5000

***

## 2
ScOs3O (PBE, optimized geometry); crystal system = cubic; ρ = 10.1 g/cm3; D(E_F) = 5.313 states/eV per cell; space-group type = Pm-3m; spin magnetization = 5.56 Bohr magnetons per cell
1.0
-0.9350 4.1183 -2.0602
-4.5523 -1.1432 -0.2191
-0.6933 1.9524 4.2174
Os Sc O
3 1 1
direct
0.5000 0.0000 0.0000
0.0000 0.0000 0.5000
0.0000 0.5000 0.0000
0.0000 0.0000 0.0000
0.5000 0.5000 0.5000

***

Ordering by calculated energy gives the sequence 1, 2, with the first entry being the most stable.